1.
Below is a relaxed structure of ThPa2Tc9, with properties calculated at the PBE level.

Results
V in Å³ per atom: 18.20
E_tot in eV per atom: -10.0560
ΔH_f (0 K) in eV/atom: -0.0805
SG: No. 12
Spin magnetization in μB/cell: 0.00

Cell lengths 5.1460, 5.1460, 9.6971 Å; angles 107.70, 107.70, 65.83 degrees
Sites, in units of the cell vectors:
Th: 0.0000 0.0000 0.0000
Pa: 0.1435 0.1435 0.4277
Pa: 0.8565 0.8565 0.5723
Tc: 0.0888 0.5939 0.2542
Tc: 0.3193 0.3193 0.0064
Tc: 0.4053 0.4053 0.7547
Tc: 0.4061 0.9112 0.7458
Tc: 0.5000 0.5000 0.5000
Tc: 0.5939 0.0888 0.2542
Tc: 0.5947 0.5947 0.2453
Tc: 0.6807 0.6807 0.9936
Tc: 0.9112 0.4061 0.7458


2.
Below is a relaxed structure of Ba2Bi2H4Au, with properties calculated at the PBE level.

Results
V in Å³ per atom: 24.68
E_tot in eV per atom: -3.3863
SG: No. 139
Spin magnetization in μB/cell: 0.00

Cell lengths 6.7989, 6.7989, 6.7989 Å; angles 120.04, 120.04, 89.93 degrees
Sites, in units of the cell vectors:
Ba: 0.2500 0.7500 0.5000
Ba: 0.7500 0.2500 0.5000
Bi: 0.1530 0.1530 0.0000
Bi: 0.8470 0.8470 0.0000
H: 0.3263 0.3263 0.6526
H: 0.3263 0.6737 0.0000
H: 0.6737 0.3263 0.0000
H: 0.6737 0.6737 0.3474
Au: 0.5000 0.5000 0.0000


3.
Below is a relaxed structure of HfPRhS2, with properties calculated at the PBE level.

Results
V in Å³ per atom: 19.04
E_tot in eV per atom: -5.9970
SG: No. 123
Relative energy among the computed polymorphs in eV/atom: 0.000
Spin magnetization in μB/cell: 0.00
Energy relative to the elements, uncorrected in eV/f.u.: 0.98

Cell lengths 4.6139, 4.6139, 4.4725 Å; angles 90.00, 90.00, 90.00 degrees
Sites, in units of the cell vectors:
Hf: 0.0000 0.0000 0.0000
P: 0.5000 0.5000 0.0000
Rh: 0.5000 0.5000 0.5000
S: 0.0000 0.5000 0.5000
S: 0.5000 0.0000 0.5000


4.
Below is a relaxed structure of MgMn2Cd2Pd5, with properties calculated at the PBE level.

Results
V in Å³ per atom: 17.23
E_tot in eV per atom: -4.9815
ΔH_f (0 K) in eV/atom: -0.2087
SG: No. 127
Spin magnetization in μB/cell: 18.37

Cell lengths 9.3988, 9.3988, 3.9020 Å; angles 90.00, 90.00, 90.00 degrees
Sites, in units of the cell vectors:
Mg: 0.0000 0.0000 0.0000
Mg: 0.5000 0.5000 0.0000
Mn: 0.1264 0.3736 0.0000
Mn: 0.3736 0.8736 0.0000
Mn: 0.6264 0.1264 0.0000
Mn: 0.8736 0.6264 0.0000
Cd: 0.1706 0.6706 0.0000
Cd: 0.3294 0.1706 0.0000
Cd: 0.6706 0.8294 0.0000
Cd: 0.8294 0.3294 0.0000
Pd: 0.0000 0.5000 0.5000
Pd: 0.0787 0.1965 0.5000
Pd: 0.1965 0.9213 0.5000
Pd: 0.3035 0.4213 0.5000
Pd: 0.4213 0.6965 0.5000
Pd: 0.5000 0.0000 0.5000
Pd: 0.5787 0.3035 0.5000
Pd: 0.6965 0.5787 0.5000
Pd: 0.8035 0.0787 0.5000
Pd: 0.9213 0.8035 0.5000


5.
Below is a relaxed structure of ReSbP2Cl, with properties calculated at the PBE level.

Results
V in Å³ per atom: 21.50
E_tot in eV per atom: -5.3158
SG: No. 123
Relative energy among the computed polymorphs in eV/atom: 0.000
Spin magnetization in μB/cell: 0.14
Energy relative to the elements, uncorrected in eV/f.u.: 2.66

Cell lengths 4.6032, 4.6032, 5.0743 Å; angles 90.00, 90.00, 90.00 degrees
Sites, in units of the cell vectors:
Re: 0.0000 0.0000 0.0000
Sb: 0.5000 0.5000 0.5000
P: 0.0000 0.5000 0.0000
P: 0.5000 0.0000 0.0000
Cl: 0.0000 0.0000 0.5000


6.
Below is a relaxed structure of Ba2AsHPd6, with properties calculated at the PBE level.

Results
V in Å³ per atom: 19.21
E_tot in eV per atom: -4.7941
SG: No. 2
Spin magnetization in μB/cell: 0.00

Cell lengths 6.0831, 6.1031, 6.9178 Å; angles 116.10, 90.19, 119.69 degrees
Sites, in units of the cell vectors:
Ba: 0.2248 0.4504 0.1748
Ba: 0.7752 0.5496 0.8252
As: 0.5000 0.0000 0.0000
H: 0.0000 0.0000 0.5000
Pd: 0.2277 0.9522 0.6801
Pd: 0.2295 0.4587 0.6792
Pd: 0.2776 0.0491 0.3202
Pd: 0.7224 0.9509 0.6798
Pd: 0.7705 0.5413 0.3208
Pd: 0.7723 0.0478 0.3199


7.
Below is a relaxed structure of V2Zn2Pb, with properties calculated at the PBE level.

Results
V in Å³ per atom: 17.70
E_tot in eV per atom: -4.5152
ΔH_f (0 K) in eV/atom: 0.3835
SG: No. 127
Relative energy among the computed polymorphs in eV/atom: 0.040
Spin magnetization in μB/cell: 0.00

Cell lengths 7.8012, 7.8012, 2.9091 Å; angles 90.00, 90.00, 90.00 degrees
Sites, in units of the cell vectors:
V: 0.1016 0.3984 0.0000
V: 0.3984 0.8984 0.0000
V: 0.6016 0.1016 0.0000
V: 0.8984 0.6016 0.0000
Zn: 0.1837 0.6837 0.5000
Zn: 0.3163 0.1837 0.5000
Zn: 0.6837 0.8163 0.5000
Zn: 0.8163 0.3163 0.5000
Pb: 0.0000 0.0000 0.5000
Pb: 0.5000 0.5000 0.5000


8.
Below is a relaxed structure of SrLiZn11, with properties calculated at the PBE level.

Results
V in Å³ per atom: 16.63
E_tot in eV per atom: -1.4901
ΔH_f (0 K) in eV/atom: -0.1356
SG: No. 12
Spin magnetization in μB/cell: 0.00

Cell lengths 6.9358, 6.9358, 6.9472 Å; angles 98.01, 98.01, 135.84 degrees
Sites, in units of the cell vectors:
Sr: 0.0000 0.0000 0.0000
Li: 0.5000 0.5000 0.5000
Zn: 0.0000 0.0000 0.5000
Zn: 0.0000 0.5000 0.0000
Zn: 0.0090 0.3633 0.3575
Zn: 0.2728 0.4990 0.7693
Zn: 0.3633 0.0090 0.3575
Zn: 0.4990 0.2728 0.7693
Zn: 0.5000 0.0000 0.0000
Zn: 0.5010 0.7272 0.2307
Zn: 0.6367 0.9910 0.6425
Zn: 0.7272 0.5010 0.2307
Zn: 0.9910 0.6367 0.6425


9.
Below is a relaxed structure of NaLiHg2, with properties calculated at the PBE level.

Results
V in Å³ per atom: 23.65
E_tot in eV per atom: -1.1630
ΔH_f (0 K) in eV/atom: -0.2039
SG: No. 166
Relative energy among the computed polymorphs in eV/atom: 0.102
Spin magnetization in μB/cell: 0.00

Cell lengths 9.7382, 9.7382, 9.7382 Å; angles 20.01, 20.01, 20.01 degrees
Sites, in units of the cell vectors:
Na: 0.0000 0.0000 0.0000
Li: 0.5000 0.5000 0.5000
Hg: 0.2418 0.2418 0.2418
Hg: 0.7582 0.7582 0.7582


10.
Below is a relaxed structure of OsAuCl2, with properties calculated at the PBE level.

Results
V in Å³ per atom: 17.33
E_tot in eV per atom: -3.2513
SG: No. 123
Relative energy among the computed polymorphs in eV/atom: 1.077
Spin magnetization in μB/cell: 0.00
Energy relative to the elements, uncorrected in eV/f.u.: 5.20

Cell lengths 4.2022, 4.2022, 3.9250 Å; angles 90.00, 90.00, 90.00 degrees
Sites, in units of the cell vectors:
Os: 0.0000 0.0000 0.0000
Au: 0.5000 0.5000 0.0000
Cl: 0.0000 0.5000 0.5000
Cl: 0.5000 0.0000 0.5000


11.
Below is a relaxed structure of PrAgH6Ir, with properties calculated at the PBE level.

Results
V in Å³ per atom: 9.98
E_tot in eV per atom: -4.3036
SG: No. 187
Spin magnetization in μB/cell: 0.00

Cell lengths 4.8569, 4.8569, 4.3981 Å; angles 90.00, 90.00, 120.00 degrees
Sites, in units of the cell vectors:
Pr: 0.0000 0.0000 0.0000
Ag: 0.6667 0.3333 0.5000
H: 0.0424 0.5212 0.2261
H: 0.0424 0.5212 0.7739
H: 0.4788 0.5212 0.2261
H: 0.4788 0.5212 0.7739
H: 0.4788 0.9576 0.2261
H: 0.4788 0.9576 0.7739
Ir: 0.3333 0.6667 0.5000


12.
Below is a relaxed structure of CaPr6Nd3, with properties calculated at the PBE level.

Results
V in Å³ per atom: 37.07
E_tot in eV per atom: -4.3147
ΔH_f (0 K) in eV/atom: 0.1835
SG: No. 58
Spin magnetization in μB/cell: 0.00

Cell lengths 9.7585, 12.6823, 5.9901 Å; angles 90.00, 90.00, 90.00 degrees
Sites, in units of the cell vectors:
Ca: 0.0000 0.0000 0.0000
Ca: 0.5000 0.5000 0.5000
Pr: 0.0328 0.2538 0.0000
Pr: 0.1483 0.6021 0.5000
Pr: 0.1498 0.8899 0.5000
Pr: 0.3502 0.3899 0.0000
Pr: 0.3517 0.1021 0.0000
Pr: 0.4672 0.7538 0.5000
Pr: 0.5328 0.2462 0.5000
Pr: 0.6483 0.8979 0.0000
Pr: 0.6498 0.6101 0.0000
Pr: 0.8502 0.1101 0.5000
Pr: 0.8517 0.3979 0.5000
Pr: 0.9672 0.7462 0.0000
Nd: 0.0000 0.5000 0.0000
Nd: 0.1923 0.2415 0.5000
Nd: 0.3077 0.7415 0.0000
Nd: 0.5000 0.0000 0.5000
Nd: 0.6923 0.2585 0.0000
Nd: 0.8077 0.7585 0.5000